[1]
# MnSi3Ru, optimized geometry, DFT PBE
# Energy above the most stable polymorph in this dataset (meV per atom): 0
# Formation energy without anion corrections (kJ per mole of atoms): 63
# Magnetic moment (μB per cell): 3.70
data_MnSi3Ru
_chemical_formula_sum 'Mn1 Si3 Ru1'
_space_group_name_H-M_alt 'P m -3 m'
_space_group_IT_number 221
_space_group_name_Hall '-P 4 2 3'
_cell_length_a 4.610
_cell_length_b 4.610
_cell_length_c 4.610
_cell_angle_alpha 90.00
_cell_angle_beta 90.00
_cell_angle_gamma 90.00
loop_
_atom_site_label
_atom_site_type_symbol
_atom_site_fract_x
_atom_site_fract_y
_atom_site_fract_z
Mn1 Mn 0.000 0.000 0.000
Si1 Si 0.000 0.500 0.500
Ru1 Ru 0.500 0.500 0.500



[2]
# MnSiRu2, optimized geometry, DFT PBE
# Formation energy without anion corrections (kJ per mole of atoms): -20
# Magnetic moment (μB per cell): 0.00
data_MnSiRu2
_chemical_formula_sum 'Mn1 Si1 Ru2'
_space_group_name_H-M_alt 'P 4 m m'
_space_group_IT_number 99
_cell_length_a 2.802
_cell_length_b 2.802
_cell_length_c 6.380
_cell_angle_alpha 90.00
_cell_angle_beta 90.00
_cell_angle_gamma 90.00
loop_
_space_group_symop_operation_xyz
'x,y,z'
'-y,x,z'
'-x,-y,z'
'y,-x,z'
'-x,y,z'
'y,x,z'
'x,-y,z'
'-y,-x,z'
loop_
_atom_site_label
_atom_site_type_symbol
_atom_site_fract_x
_atom_site_fract_y
_atom_site_fract_z
Mn1 Mn 0.000 0.000 0.000
Si1 Si 0.500 0.500 0.784
Ru1 Ru 0.000 0.000 0.554
Ru2 Ru 0.500 0.500 0.253



[3]
# Mn2SiRu, optimized geometry, DFT PBE
# Formation energy without anion corrections (kJ per mole of atoms): -3
# Magnetic moment (μB per cell): 1.71
data_Mn2SiRu
_chemical_formula_sum 'Mn6 Si3 Ru3'
_space_group_name_H-M_alt 'R 3 m'
_space_group_IT_number 160
_space_group_name_Hall 'R 3 -2"'
_cell_length_a 2.6893
_cell_length_b 2.6893
_cell_length_c 23.9220
_cell_angle_alpha 90.00
_cell_angle_beta 90.00
_cell_angle_gamma 120.00
loop_
_atom_site_label
_atom_site_type_symbol
_atom_site_fract_x
_atom_site_fract_y
_atom_site_fract_z
Mn1 Mn 0.0000 0.0000 0.0000
Mn2 Mn 0.0000 0.0000 0.2530
Si1 Si 0.0000 0.0000 0.7469
Ru1 Ru 0.0000 0.0000 0.4972



[4]
# Mn2SiRu, optimized geometry, DFT PBE
# Formation energy without anion corrections (kJ per mole of atoms): -24
# Magnetic moment (μB per cell): 2.89
data_Mn2SiRu
_chemical_formula_sum 'Mn4 Si2 Ru2'
_space_group_name_H-M_alt 'I m m m'
_space_group_IT_number 71
_space_group_name_Hall '-I 2 2'
_cell_length_a 2.820
_cell_length_b 4.047
_cell_length_c 8.266
_cell_angle_alpha 90.00
_cell_angle_beta 90.00
_cell_angle_gamma 90.00
loop_
_atom_site_label
_atom_site_type_symbol
_atom_site_fract_x
_atom_site_fract_y
_atom_site_fract_z
Mn1 Mn 0.000 0.000 0.236
Si1 Si 0.000 0.500 0.500
Ru1 Ru 0.000 0.500 0.000



[5]
# MnSiRu2, optimized geometry, DFT PBE
# Formation energy without anion corrections (kJ per mole of atoms): -18
# Magnetic moment (μB per cell): 3.59
data_MnSiRu2
_chemical_formula_sum 'Mn1 Si1 Ru2'
_space_group_name_H-M_alt 'P 1 2/m 1'
_space_group_IT_number 10
_cell_length_a 2.831
_cell_length_b 3.696
_cell_length_c 5.344
_cell_angle_alpha 90.00
_cell_angle_beta 101.77
_cell_angle_gamma 90.00
loop_
_space_group_symop_operation_xyz
'x,y,z'
'-x,-y,-z'
'-x,y,-z'
'x,-y,z'
loop_
_atom_site_label
_atom_site_type_symbol
_atom_site_fract_x
_atom_site_fract_y
_atom_site_fract_z
Mn1 Mn 0.000 0.000 0.000
Si1 Si 0.000 0.000 0.500
Ru1 Ru 0.374 0.500 0.736



[6]
# Mn2SiRu, optimized geometry, DFT PBE
# Formation energy without anion corrections (kJ per mole of atoms): -20
# Magnetic moment (μB per cell): 7.25
data_Mn2SiRu
_chemical_formula_sum 'Mn4 Si2 Ru2'
_space_group_name_H-M_alt 'I 4/m m m'
_space_group_IT_number 139
_space_group_name_Hall '-I 4 2'
_cell_length_a 3.602
_cell_length_b 3.602
_cell_length_c 7.572
_cell_angle_alpha 90.00
_cell_angle_beta 90.00
_cell_angle_gamma 90.00
loop_
_atom_site_label
_atom_site_type_symbol
_atom_site_fract_x
_atom_site_fract_y
_atom_site_fract_z
Mn1 Mn 0.000 0.500 0.250
Si1 Si 0.000 0.000 0.000
Ru1 Ru 0.000 0.000 0.500